No. 1
DFT (PBE) results for a relaxed HoZr crystal.

Values from the calculation:
energy of formation from the pure elements = 0.05 eV per atom

a b c (Å): 5.873 13.743 5.313
angles (deg): 90.00 90.00 90.00
Fractional positions:
Zr 0.008 0.750 0.000
Zr 0.310 0.750 0.500
Zr 0.843 0.640 0.500
Zr 0.492 0.140 0.000
Zr 0.325 0.250 0.500
Zr 0.023 0.250 0.000
Zr 0.492 0.360 0.000
Zr 0.843 0.860 0.500
Ho 0.345 0.001 0.500
Ho 0.506 0.630 0.000
Ho 0.987 0.999 0.000
Ho 0.828 0.370 0.500
Ho 0.345 0.499 0.500
Ho 0.828 0.130 0.500
Ho 0.506 0.870 0.000
Ho 0.987 0.501 0.000


No. 2
DFT (PBE) results for a relaxed Zn2CdAu2 crystal.

Values from the calculation:
energy of formation from the pure elements = -0.03 eV per atom

a b c (Å): 6.552 6.552 6.552
angles (deg): 144.40 144.40 51.24
Fractional positions:
Zn 0.399 0.399 0.000
Zn 0.601 0.601 0.000
Au 0.250 0.750 0.500
Au 0.750 0.250 0.500
Cd 0.000 0.000 0.000


No. 3
DFT (PBE) results for a relaxed TaHg2Au2 crystal.

Values from the calculation:
energy of formation from the pure elements = 0.78 eV per atom

a b c (Å): 6.917 6.917 6.917
angles (deg): 145.98 145.98 48.87
Fractional positions:
Hg 0.602 0.602 0.000
Hg 0.398 0.398 0.000
Ta 0.000 0.000 0.000
Au 0.250 0.750 0.500
Au 0.750 0.250 0.500


No. 4
DFT (PBE) results for a relaxed Ta2SeS3 crystal.

Values from the calculation:
total DFT energy (no corrections) = -7.59 eV/atom

a b c (Å): 11.124 11.124 5.839
angles (deg): 90.02 90.02 17.40
Fractional positions:
S 0.930 0.930 0.747
S 0.569 0.569 0.251
S 0.073 0.073 0.746
Ta 0.002 0.002 0.072
Ta 0.501 0.501 0.591
Se 0.424 0.424 0.249


No. 5
DFT (PBE) results for a relaxed Zr crystal.

Values from the calculation:
energy of formation from the pure elements = 0.00 eV per atom

a b c (Å): 8.529 6.448 5.190
angles (deg): 90.00 90.00 100.89
Fractional positions:
Zr 0.000 0.000 0.000
Zr 0.222 0.556 0.500
Zr 0.556 0.389 0.500
Zr 0.889 0.722 0.500
Zr 0.556 0.889 0.500
Zr 0.667 0.167 0.000
Zr 0.667 0.667 0.000
Zr 0.333 0.333 0.000
Zr 0.000 0.500 0.000
Zr 0.889 0.222 0.500
Zr 0.222 0.056 0.500
Zr 0.333 0.833 0.000


No. 6
DFT (PBE) results for a relaxed YErSi2W2C crystal.

Values from the calculation:
total DFT energy (no corrections) = -8.69 eV/atom

a b c (Å): 5.862 5.862 7.104
angles (deg): 123.11 123.11 38.13
Fractional positions:
Er 0.426 0.426 0.705
W 0.207 0.207 0.084
W 0.792 0.792 0.915
Si 0.869 0.869 0.340
Si 0.131 0.131 0.661
Y 0.575 0.575 0.297
C 0.999 0.999 0.997


No. 7
DFT (PBE) results for a relaxed HoSiNi2P crystal.

Values from the calculation:
total DFT energy (no corrections) = -6.28 eV/atom

a b c (Å): 5.476 5.476 5.476
angles (deg): 138.39 138.39 60.31
Fractional positions:
Ho 0.002 0.002 0.000
Si 0.377 0.377 0.000
Ni 0.249 0.749 0.500
Ni 0.749 0.249 0.500
P 0.623 0.623 0.000


No. 8
DFT (PBE) results for a relaxed NaGdW crystal.

Values from the calculation:
total DFT energy (no corrections) = -4.43 eV/atom

a b c (Å): 4.732 4.732 4.732
angles (deg): 60.00 60.00 60.00
Fractional positions:
Na 0.000 0.000 0.000
Gd 0.250 0.250 0.250
W 0.750 0.750 0.750